La3AuN PBE-GGA optimized geometry; energy above the lowest structure with this stoichiometry = 752 meV/atom; formation energy without anion corrections = -0.159 eV/atom; crystal system = orthorhombic
1.0
3.624 -8.400 0.000
3.624 8.400 0.000
0.000 0.000 6.233
La Au N
6 2 2
Cartesian
0.000 0.000 0.000 La
0.000 0.000 3.117 La
1.833 2.998 4.675 La
1.833 -2.998 1.558 La
5.415 2.998 4.675 La
5.415 -2.998 1.558 La
3.624 5.619 4.675 Au
3.624 -5.619 1.558 Au
3.624 1.953 4.675 N
3.624 -1.953 1.558 N

La6Au3N2 PBE-GGA optimized geometry; formation energy without anion corrections = -0.887 eV/atom; crystal system = tetragonal
1.0
-2.458 2.458 12.444
2.458 -2.458 12.444
2.458 2.458 -12.444
La Au N
6 3 2
Cartesian
2.458 0.000 2.133 La
0.000 0.000 5.003 La
2.458 0.000 10.311 La
0.000 2.458 2.133 La
0.000 0.000 19.885 La
0.000 2.458 10.311 La
0.000 0.000 8.124 Au
0.000 0.000 12.444 Au
0.000 0.000 16.764 Au
0.000 0.000 2.723 N
0.000 0.000 22.165 N

La6Au3N PBE-GGA optimized geometry; formation energy without anion corrections = -0.739 eV/atom; crystal system = monoclinic
1.0
6.820 0.000 0.000
0.000 7.910 0.000
-6.662 0.000 10.715
La Au N
12 6 2
Cartesian
-2.347 1.710 4.666 La
-5.678 2.245 10.024 La
-1.199 5.185 4.719 La
-4.530 6.680 10.077 La
1.017 0.337 2.424 La
-2.314 3.618 7.781 La
2.472 4.292 2.934 La
-0.859 7.573 8.291 La
4.688 1.230 0.638 La
1.357 2.725 5.996 La
5.836 5.665 0.691 La
2.506 6.200 6.049 La
-3.748 0.834 7.856 Au
-0.417 3.121 2.499 Au
0.079 0.000 5.358 Au
3.410 3.955 0.000 Au
0.575 4.789 8.216 Au
3.906 7.076 2.859 Au
0.000 0.000 0.000 N
-3.331 3.955 5.358 N

La3Au2N PBE-GGA optimized geometry; energy above the lowest structure with this stoichiometry = 55 meV/atom; formation energy without anion corrections = -0.934 eV/atom; crystal system = monoclinic
1.0
6.060 -3.722 0.000
6.060 3.722 0.000
-1.990 0.000 7.060
La Au N
6 4 2
Cartesian
4.568 2.955 5.295 La
4.377 0.490 0.153 La
3.382 -0.490 3.683 La
6.749 0.490 3.377 La
5.754 -0.490 6.907 La
5.563 -2.955 1.765 La
0.833 1.276 4.552 Au
1.828 -1.276 1.022 Au
8.303 1.276 6.037 Au
9.298 -1.276 2.507 Au
4.568 0.615 5.295 N
5.563 -0.615 1.765 N

La3AuN PBE-GGA optimized geometry; energy above the lowest structure with this stoichiometry = 578 meV/atom; formation energy without anion corrections = -0.334 eV/atom; crystal system = trigonal
1.0
8.282 0.000 0.000
-4.141 7.172 0.000
0.000 0.000 11.376
La Au N
9 3 3
Cartesian
-1.863 3.706 0.000 La
0.000 2.152 3.792 La
-2.277 6.096 3.792 La
2.277 1.315 7.584 La
1.863 3.706 0.000 La
0.000 6.933 0.000 La
2.277 6.096 3.792 La
6.004 1.315 7.584 La
4.141 4.542 7.584 La
0.000 0.000 6.057 Au
0.000 4.781 2.265 Au
4.141 2.391 9.849 Au
0.000 0.000 3.195 N
0.000 4.781 10.779 N
4.141 2.391 6.987 N

LaAuN PBE-GGA optimized geometry; formation energy without anion corrections = -0.621 eV/atom; crystal system = trigonal
1.0
4.101 0.000 0.000
-2.050 3.551 0.000
0.000 0.000 4.794
La Au N
1 1 1
Cartesian
0.000 0.000 0.000 La
2.050 1.184 2.551 Au
2.050 1.184 0.357 N

LaAuN2 PBE-GGA optimized geometry; energy above the lowest structure with this stoichiometry = 0 meV/atom; formation energy without anion corrections = -0.121 eV/atom; crystal system = trigonal
1.0
3.977 0.000 0.000
-1.989 3.445 0.000
0.000 0.000 17.705
La Au N
3 3 6
Cartesian
0.000 0.000 0.000 La
0.000 2.296 11.804 La
1.989 1.148 5.902 La
0.000 0.000 8.853 Au
0.000 2.296 2.951 Au
1.989 1.148 14.754 Au
0.000 0.000 6.923 N
0.000 0.000 10.782 N
0.000 2.296 1.021 N
0.000 2.296 4.880 N
1.989 1.148 12.825 N
1.989 1.148 16.684 N

La2AuN PBE-GGA optimized geometry; formation energy without anion corrections = -0.942 eV/atom; crystal system = trigonal
1.0
3.787 0.000 0.000
-1.894 3.280 0.000
0.000 0.000 22.606
La Au N
6 3 3
Cartesian
0.000 0.000 5.204 La
0.000 0.000 17.402 La
0.000 2.186 9.867 La
0.000 2.186 20.275 La
1.894 1.093 2.332 La
1.894 1.093 12.739 La
0.000 0.000 0.000 Au
0.000 2.186 15.071 Au
1.894 1.093 7.535 Au
0.000 0.000 11.303 N
0.000 2.186 3.768 N
1.894 1.093 18.838 N

La3AuN PBE-GGA optimized geometry; energy above the lowest structure with this stoichiometry = 161 meV/atom; formation energy without anion corrections = -0.750 eV/atom; crystal system = orthorhombic
1.0
6.780 0.000 0.000
0.000 12.450 0.000
0.000 0.000 7.133
La Au N
12 4 4
Cartesian
0.856 1.315 0.788 La
0.856 4.910 0.788 La
1.177 3.112 4.423 La
2.213 9.337 0.856 La
2.534 7.540 4.355 La
2.534 11.134 4.355 La
4.246 1.315 2.779 La
4.246 4.910 2.779 La
4.567 3.112 6.277 La
5.603 9.337 2.710 La
5.924 7.540 6.345 La
5.924 11.134 6.345 La
0.000 0.000 3.567 Au
0.000 6.225 3.567 Au
3.390 0.000 0.000 Au
3.390 6.225 0.000 Au
0.214 3.112 6.564 N
3.176 9.337 2.998 N
3.604 3.112 4.136 N
6.566 9.337 0.569 N

La2Au2N PBE-GGA optimized geometry; formation energy without anion corrections = -0.870 eV/atom; crystal system = tetragonal
1.0
-1.921 1.921 16.825
1.921 -1.921 16.825
1.921 1.921 -16.825
La Au N
4 4 2
Cartesian
1.921 0.960 -5.658 La
0.000 0.960 2.755 La
1.921 0.960 14.071 La
0.000 0.960 22.483 La
1.921 0.960 -1.023 Au
0.000 0.960 7.389 Au
1.921 0.960 9.436 Au
0.000 0.960 17.848 Au
1.921 -0.960 12.619 N
0.000 2.881 4.206 N

La3AuN PBE-GGA optimized geometry; energy above the lowest structure with this stoichiometry = 510 meV/atom; formation energy without anion corrections = -0.401 eV/atom; crystal system = tetragonal
1.0
-3.451 3.451 6.458
3.451 -3.451 6.458
3.451 3.451 -6.458
La Au N
6 2 2
Cartesian
0.000 0.000 1.581 La
3.451 1.698 1.488 La
1.698 3.451 -1.488 La
1.753 0.000 4.970 La
0.000 1.753 7.946 La
0.000 0.000 11.335 La
0.000 3.451 1.154 Au
0.000 3.451 5.304 Au
3.451 0.000 3.229 N
0.000 0.000 6.458 N

La4Au2N PBE-GGA optimized geometry; energy above the lowest structure with this stoichiometry = 85 meV/atom; formation energy without anion corrections = -0.760 eV/atom; crystal system = orthorhombic
1.0
7.513 0.000 0.000
0.000 13.377 0.000
0.000 0.000 3.905
La Au N
8 4 2
Cartesian
0.778 2.454 0.000 La
1.678 12.832 1.952 La
2.079 6.143 1.952 La
2.979 9.143 0.000 La
4.534 4.234 0.000 La
5.434 7.234 1.952 La
5.835 0.545 1.952 La
6.736 10.923 0.000 La
0.572 8.914 1.952 Au
3.185 2.225 1.952 Au
4.328 11.152 1.952 Au
6.941 4.463 1.952 Au
0.000 0.000 0.000 N
3.757 6.689 0.000 N

La4Au2N PBE-GGA optimized geometry; energy above the lowest structure with this stoichiometry = 15 meV/atom; formation energy without anion corrections = -0.830 eV/atom; crystal system = tetragonal
1.0
5.079 0.000 0.000
0.000 5.079 0.000
0.000 0.000 15.056
La Au N
8 4 2
Cartesian
0.000 0.000 2.638 La
0.000 0.000 12.418 La
0.000 2.540 0.000 La
0.000 2.540 7.528 La
2.540 0.000 0.000 La
2.540 0.000 7.528 La
2.540 2.540 4.890 La
2.540 2.540 10.166 La
0.000 0.000 5.586 Au
0.000 0.000 9.470 Au
2.540 2.540 1.942 Au
2.540 2.540 13.114 Au
0.000 0.000 0.000 N
2.540 2.540 7.528 N

La3AuN PBE-GGA optimized geometry; energy above the lowest structure with this stoichiometry = 770 meV/atom; formation energy without anion corrections = -0.142 eV/atom; crystal system = tetragonal
1.0
4.842 0.000 0.000
0.000 4.842 0.000
0.000 0.000 8.039
La Au N
3 1 1
Cartesian
0.000 0.000 0.000 La
0.000 2.421 4.853 La
2.421 0.000 4.853 La
0.000 0.000 2.875 Au
2.421 2.421 5.302 N

La6AuN3 PBE-GGA optimized geometry; formation energy without anion corrections = -0.909 eV/atom; crystal system = monoclinic
1.0
11.712 0.000 0.000
0.000 3.727 0.000
-4.608 0.000 11.713
La Au N
12 2 6
Cartesian
-0.824 0.932 3.309 La
-1.051 0.932 6.773 La
1.337 2.795 1.319 La
1.692 2.795 4.903 La
0.029 2.795 10.752 La
4.190 0.932 2.665 La
2.915 2.795 9.047 La
7.076 0.932 0.960 La
5.412 0.932 6.809 La
5.768 0.932 10.394 La
8.155 2.795 4.940 La
7.928 2.795 8.404 La
-2.530 0.932 10.675 Au
9.635 2.795 1.038 Au
-0.960 2.795 5.165 N
1.746 0.932 3.180 N
5.265 2.795 1.309 N
1.839 0.932 10.404 N
5.359 2.795 8.533 N
8.064 0.932 6.547 N

La3AuN PBE-GGA optimized geometry; energy above the lowest structure with this stoichiometry = 43 meV/atom; formation energy without anion corrections = -0.868 eV/atom; crystal system = monoclinic
1.0
5.265 0.000 0.000
0.000 7.498 0.000
-2.625 0.000 6.626
La Au N
6 2 2
Cartesian
-0.001 1.874 0.489 La
0.006 0.156 4.885 La
0.006 3.592 4.885 La
2.634 3.905 1.741 La
2.634 7.341 1.741 La
2.641 5.623 6.137 La
-0.001 5.623 2.541 Au
2.641 1.874 4.085 Au
0.008 5.623 6.384 N
2.632 1.874 0.241 N

La3AuN PBE-GGA optimized geometry; energy above the lowest structure with this stoichiometry = 33 meV/atom; formation energy without anion corrections = -0.879 eV/atom; crystal system = orthorhombic
1.0
1.906 -6.715 0.000
1.906 6.715 0.000
0.000 0.000 10.085
La Au N
6 2 2
Cartesian
1.906 5.919 7.564 La
1.906 1.641 5.621 La
1.906 1.641 9.507 La
1.906 -1.641 0.578 La
1.906 -1.641 4.464 La
1.906 -5.919 2.521 La
1.906 3.374 2.521 Au
1.906 -3.374 7.564 Au
0.000 0.000 0.000 N
0.000 0.000 5.043 N

La3AuN PBE-GGA optimized geometry; energy above the lowest structure with this stoichiometry = 128 meV/atom; formation energy without anion corrections = -0.784 eV/atom; crystal system = trigonal
1.0
3.360 1.940 7.035
-3.360 1.940 7.035
0.000 -3.880 7.035
La Au N
6 2 2
Cartesian
-1.227 -2.120 9.104 La
-2.449 0.002 12.000 La
-1.223 2.122 9.104 La
1.223 -2.122 12.000 La
2.449 -0.002 9.104 La
1.227 2.120 12.000 La
0.000 0.000 7.239 Au
0.000 0.000 13.865 Au
0.000 0.000 3.450 N
0.000 0.000 17.654 N

La3AuN2 PBE-GGA optimized geometry; formation energy without anion corrections = -1.054 eV/atom; crystal system = orthorhombic
1.0
3.577 0.000 0.000
0.000 11.596 0.000
0.000 0.000 6.433
La Au N
6 2 4
Cartesian
0.000 1.001 0.000 La
0.000 10.595 3.216 La
1.788 2.054 3.324 La
1.788 4.441 5.763 La
1.788 7.155 2.546 La
1.788 9.541 0.108 La
0.000 4.351 1.926 Au
0.000 7.245 5.142 Au
0.000 2.994 4.933 N
0.000 8.602 1.717 N
1.788 0.017 1.733 N
1.788 11.579 4.949 N

La3AuN PBE-GGA optimized geometry; energy above the lowest structure with this stoichiometry = 171 meV/atom; formation energy without anion corrections = -0.740 eV/atom; crystal system = monoclinic
1.0
8.835 -1.840 0.000
8.835 1.840 0.000
-1.035 0.000 8.763
La Au N
6 2 2
Cartesian
-0.234 0.000 2.071 La
2.356 0.000 5.551 La
5.033 0.000 8.754 La
11.602 0.000 0.009 La
14.279 0.000 3.212 La
16.869 0.000 6.692 La
2.982 0.000 2.504 Au
13.653 0.000 6.259 Au
7.020 0.000 2.295 N
9.615 0.000 6.468 N

La5Au2N PBE-GGA optimized geometry; energy above the lowest structure with this stoichiometry = 92 meV/atom; formation energy without anion corrections = -0.660 eV/atom; crystal system = orthorhombic
1.0
2.664 -5.595 0.000
2.664 5.595 0.000
0.000 0.000 15.072
La Au N
10 4 2
Cartesian
2.664 4.484 9.416 La
2.664 4.484 13.191 La
2.664 2.789 3.768 La
2.664 1.119 9.419 La
2.664 1.119 13.188 La
2.664 -1.119 1.883 La
2.664 -1.119 5.652 La
2.664 -2.789 11.304 La
2.664 -4.484 1.880 La
2.664 -4.484 5.656 La
2.664 2.796 0.819 Au
2.664 2.796 6.717 Au
2.664 -2.796 8.355 Au
2.664 -2.796 14.253 Au
2.664 2.804 11.304 N
2.664 -2.804 3.768 N

La3AuN PBE-GGA optimized geometry; energy above the lowest structure with this stoichiometry = 447 meV/atom; formation energy without anion corrections = -0.464 eV/atom; crystal system = orthorhombic
1.0
3.584 -5.437 0.000
3.584 5.437 0.000
0.000 0.000 8.077
La Au N
6 2 2
Cartesian
0.000 0.000 0.000 La
0.000 0.000 4.038 La
1.879 2.515 6.057 La
1.879 -2.515 2.019 La
5.289 2.515 6.057 La
5.289 -2.515 2.019 La
3.584 0.242 2.019 Au
3.584 -0.242 6.057 Au
3.584 4.085 2.019 N
3.584 -4.085 6.057 N